[1]
# PmScTc

A geometry-optimized PmScTc structure (GGA-PBE, the Alexandria database).

Cell lengths 3.423, 3.423, 11.929 Å; angles 90.00, 90.00, 90.00 degrees
Space group I4mm (No. 107)
Inequivalent atoms, fractional coordinates:
Pm: 0.000 0.000 0.000 [2 per cell]
Sc: 0.000 0.000 0.266 [2 per cell]
Tc: 0.000 0.000 0.649 [2 per cell]

**Formation enthalpy at 0 K**: -0.023 eV/atom
**D(E_F)**: 1.270 states/eV/atom
**Offset from the most stable computed form**: 0.0 meV/atom

---

[2]
# P3H12Se

A geometry-optimized P3H12Se structure (GGA-PBE, the Alexandria database).

Cell lengths 7.3797, 7.3797, 19.4733 Å; angles 90.00, 90.00, 120.00 degrees
Space group R3c (No. 161, hexagonal axes)
Inequivalent atoms, fractional coordinates:
P: 0.0052 0.3838 0.0000 [18 per cell]
H: 0.0578 0.1927 0.7009 [18 per cell]
H: 0.0960 0.3392 0.8217 [18 per cell]
H: 0.1275 0.4148 0.9376 [18 per cell]
H: 0.1516 0.4611 0.0550 [18 per cell]
Se: 0.0000 0.0000 0.0120 [6 per cell]

**D(E_F)**: 0.158 states/eV/atom
**Electronic total energy**: -3.554 eV/atom

---

[3]
# AcZn6Pt2

A geometry-optimized AcZn6Pt2 structure (GGA-PBE, the Alexandria database).

Cell lengths 12.015, 6.724, 4.388 Å; angles 90.00, 107.53, 90.00 degrees
Space group C2/m (No. 12)
Inequivalent atoms, fractional coordinates:
Ac: 0.000 0.000 0.000 [2 per cell]
Zn: 0.000 0.323 0.500 [4 per cell]
Zn: 0.210 0.295 0.717 [8 per cell]
Pt: 0.131 0.500 0.146 [4 per cell]

**Formation enthalpy at 0 K**: -0.309 eV/atom
**D(E_F)**: 0.512 states/eV/atom
**Offset from the most stable computed form**: 128.5 meV/atom

---

[4]
# In2Si2Bi

A geometry-optimized In2Si2Bi structure (GGA-PBE, the Alexandria database).

Cell lengths 4.927, 4.927, 10.036 Å; angles 90.00, 90.00, 90.00 degrees
Space group I4/mmm (No. 139)
Inequivalent atoms, fractional coordinates:
In: 0.000 0.500 0.250 [4 per cell]
Si: 0.000 0.000 0.116 [4 per cell]
Bi: 0.000 0.000 0.500 [2 per cell]

**D(E_F)**: 0.675 states/eV/atom
**Offset from the most stable computed form**: 129.5 meV/atom